A geometry-optimized HoBe2BRu structure. Source: Alexandria, functional PBE-GGA.

Lattice parameters (Å, degrees): 3.4972 3.5823 5.6585 108.45 108.00 90.00
Closest atoms and distances in Å follow each position.
Atoms (fractional coordinates):
Be (0.7027, 0.2027, 0.4054)  2 B 2.15, 2 Be 2.27
Be (0.0595, 0.0595, 0.1190)  2 Ru 2.27, 2 Be 2.27, 1 B 2.43
B (0.8198, 0.8198, 0.6395)  2 Ru 2.15, 2 Be 2.15
Ru (0.1967, 0.6967, 0.3933)  2 B 2.15, 2 Be 2.27
Ho (0.4335, 0.4335, 0.8670)  4 B 2.76, 6 Be 2.81-2.92, 2 Ru 3.00

ΔH_f (0 K) = -0.2951 eV per atom
Total magnetic moment = 0.00 μB per atom
Total DFT energy (no corrections) = -0.433 Ry per atom